DFT (GGA+U) results for DyTlCrF6 after structural relaxation.

a b c (Å): 5.9079 5.9079 11.5901
angles (deg): 90.00 90.00 120.00
Fractional coordinates of all 18 atoms:
Dy 0.3333 0.6667 0.2500
Dy 0.6667 0.3333 0.7500
Tl 0.0000 0.0000 0.0000
Tl 0.0000 0.0000 0.5000
Cr 0.3333 0.6667 0.7500
Cr 0.6667 0.3333 0.2500
F 0.0070 0.3830 0.6514
F 0.0070 0.6240 0.8486
F 0.3760 0.3830 0.8486
F 0.3760 0.9930 0.6514
F 0.3830 0.0070 0.1514
F 0.3830 0.3760 0.3486
F 0.6170 0.6240 0.6514
F 0.6170 0.9930 0.8486
F 0.6240 0.0070 0.3486
F 0.6240 0.6170 0.1514
F 0.9930 0.3760 0.1514
F 0.9930 0.6170 0.3486

Results
As for the calculated density: 5.05 Mg/m³. The total magnetization is 8.000 μB/cell. The calculation puts the total energy at -5.834 eV per atom. As for the volume: 350 Å³ per cell.